No. 1
## Ho2ScOs2 (PBE)

Data for Ho2ScOs2 after structural relaxation.

## Properties
- SG = No. 71
- total magnetic moment (μB per cell) = 0.00
- VASP energy (eV per atom) = -7.886
- DOS(E_F) (states/eV/cell) = 8.318
- formation energy from the elements (eV per atom) = -0.30

Cell: 4.2945 5.9017 8.5481 Å, 90.00 90.00 90.00°
Positions (direct):
Ho: 0.0000 0.0000 0.2065
Ho: 0.0000 0.0000 0.7935
Ho: 0.5000 0.5000 0.2935
Ho: 0.5000 0.5000 0.7065
Sc: 0.0000 0.5000 0.0000
Sc: 0.5000 0.0000 0.5000
Os: 0.0000 0.2873 0.5000
Os: 0.0000 0.7127 0.5000
Os: 0.5000 0.2127 0.0000
Os: 0.5000 0.7873 0.0000

No. 2
## Ho2ScOs (PBE)

Data for Ho2ScOs after structural relaxation.

## Properties
- polymorph energy (0 for the lowest one) (meV/atom) = 571.9
- SG = No. 166
- total magnetic moment (μB per cell) = 0.22
- VASP energy (eV per atom) = -6.401
- DOS(E_F) (states/eV/cell) = 16.498
- formation energy from the elements (eV per atom) = 0.28

Cell: 3.3094 3.3094 31.5926 Å, 90.00 90.00 120.00°
Positions (direct):
Ho: 0.0000 0.0000 0.1009
Ho: 0.0000 0.0000 0.8991
Ho: 0.3333 0.6667 0.5658
Ho: 0.3333 0.6667 0.7675
Ho: 0.6667 0.3333 0.2325
Ho: 0.6667 0.3333 0.4342
Sc: 0.0000 0.0000 0.0000
Sc: 0.3333 0.6667 0.6667
Sc: 0.6667 0.3333 0.3333
Os: 0.0000 0.0000 0.5000
Os: 0.3333 0.6667 0.1667
Os: 0.6667 0.3333 0.8333

> The lowest DOS(E_F) belongs to which entry?

Ho2ScOs2